# YNpPa

A relaxed YNpPa crystal (GGA-PBE, the Open Quantum Materials Database).

Cell and atoms, written as extended XYZ:
```
3
Lattice="0.000 3.399 3.399 3.399 0.000 3.399 3.399 3.399 0.000" Properties=species:S:1:pos:R:3 pbc="T T T"
Y 0.000 0.000 0.000
Np 5.098 5.098 5.098
Pa 3.399 3.399 3.399
```

Results
The value obtained for the total DFT energy (no corrections) is -25.5 eV for the cell shown. For the calculated density, the calculation gives 11.775 g cm⁻³. The space group is No. 216.